Material: Mn3Fe12Tc5
Method: DFT, PBE
State: relaxed

Structure (POSCAR):
```
Mn3Fe12Tc5
1.0
-6.620 6.620 6.620
6.620 -6.620 6.620
6.620 6.620 -6.620
Mn Fe Tc
12 48 20
direct
0.125 0.250 0.375 Mn
0.125 0.375 0.750 Mn
0.250 0.375 0.125 Mn
0.250 0.875 0.625 Mn
0.375 0.125 0.250 Mn
0.375 0.750 0.125 Mn
0.625 0.250 0.875 Mn
0.625 0.875 0.750 Mn
0.750 0.125 0.375 Mn
0.750 0.625 0.875 Mn
0.875 0.625 0.250 Mn
0.875 0.750 0.625 Mn
0.066 0.638 0.400 Fe
0.066 0.928 0.666 Fe
0.072 0.238 0.138 Fe
0.072 0.334 0.934 Fe
0.100 0.738 0.666 Fe
0.100 0.862 0.434 Fe
0.138 0.072 0.238 Fe
0.138 0.566 0.900 Fe
0.166 0.238 0.600 Fe
0.166 0.428 0.566 Fe
0.238 0.138 0.072 Fe
0.238 0.600 0.166 Fe
0.262 0.334 0.900 Fe
0.262 0.428 0.362 Fe
0.334 0.900 0.262 Fe
0.334 0.934 0.072 Fe
0.362 0.262 0.428 Fe
0.362 0.600 0.934 Fe
0.400 0.066 0.638 Fe
0.400 0.834 0.762 Fe
0.428 0.362 0.262 Fe
0.428 0.566 0.166 Fe
0.434 0.100 0.862 Fe
0.434 0.834 0.572 Fe
0.566 0.166 0.428 Fe
0.566 0.900 0.138 Fe
0.572 0.434 0.834 Fe
0.572 0.638 0.738 Fe
0.600 0.166 0.238 Fe
0.600 0.934 0.362 Fe
0.638 0.400 0.066 Fe
0.638 0.738 0.572 Fe
0.666 0.066 0.928 Fe
0.666 0.100 0.738 Fe
0.738 0.572 0.638 Fe
0.738 0.666 0.100 Fe
0.762 0.400 0.834 Fe
0.762 0.862 0.928 Fe
0.834 0.572 0.434 Fe
0.834 0.762 0.400 Fe
0.862 0.434 0.100 Fe
0.862 0.928 0.762 Fe
0.900 0.138 0.566 Fe
0.900 0.262 0.334 Fe
0.928 0.666 0.066 Fe
0.928 0.762 0.862 Fe
0.934 0.072 0.334 Fe
0.934 0.362 0.600 Fe
0.000 0.000 0.000 Tc
0.000 0.000 0.500 Tc
0.000 0.500 0.000 Tc
0.000 0.500 0.500 Tc
0.125 0.750 0.875 Tc
0.125 0.875 0.250 Tc
0.250 0.125 0.875 Tc
0.250 0.625 0.375 Tc
0.375 0.250 0.625 Tc
0.375 0.625 0.750 Tc
0.500 0.000 0.000 Tc
0.500 0.000 0.500 Tc
0.500 0.500 0.000 Tc
0.500 0.500 0.500 Tc
0.625 0.375 0.250 Tc
0.625 0.750 0.375 Tc
0.750 0.375 0.625 Tc
0.750 0.875 0.125 Tc
0.875 0.125 0.750 Tc
0.875 0.250 0.125 Tc
```

Computed properties:
The calculation puts the energy of formation from the pure elements at 19.64 eV per formula unit. As for the calculated density: 7.583 g/cm3. As for the total energy: -8.0627 eV per atom. As for the spin magnetization: 3.01 μB per formula unit. Its space group is Ia-3d.

***

Material: BaTcF5
Method: DFT, PBE
State: relaxed

Structure (POSCAR):
```
BaTcF5
1.0
5.076 -3.550 0.000
5.076 3.550 0.000
-3.759 0.000 7.723
Ba Tc F
2 2 10
direct
0.048 0.952 0.750 Ba
0.952 0.048 0.250 Ba
0.500 0.500 0.000 Tc
0.500 0.500 0.500 Tc
0.198 0.775 0.023 F
0.225 0.802 0.477 F
0.262 0.306 0.388 F
0.306 0.262 0.888 F
0.447 0.553 0.750 F
0.553 0.447 0.250 F
0.694 0.738 0.112 F
0.738 0.694 0.612 F
0.775 0.198 0.523 F
0.802 0.225 0.977 F
```

Computed properties:
As for the calculated density: 3.941 g/cm3. As for the total energy: -5.7961 eV per atom. As for the spin magnetization: 2.67 μB per formula unit. The calculation puts the uncorrected formation energy at -2.704 eV/atom. Its space group is C2/c.

***

Material: Tc4MoIr
Method: DFT, PBE
State: relaxed

Structure (POSCAR):
```
Tc4MoIr
1.0
0.000 3.580 3.580
3.580 0.000 3.580
3.580 3.580 0.000
Tc Mo Ir
4 1 1
direct
0.376 0.376 0.376 Tc
0.376 0.376 0.872 Tc
0.376 0.872 0.376 Tc
0.872 0.376 0.376 Tc
0.000 0.000 0.000 Mo
0.750 0.750 0.750 Ir
```

Computed properties:
The calculation puts the energy of formation from the pure elements at 1.27 eV per formula unit. As for the calculated density: 12.309 g/cm3. As for the total energy: -9.9809 eV per atom. As for the spin magnetization: 0.00 μB per formula unit. Its space group is F-43m.

***

Material: Rb2AcPmO4
Method: DFT, PBE
State: relaxed

Structure (POSCAR):
```
Rb2AcPmO4
1.0
6.527 0.000 0.000
0.000 3.759 0.000
-2.175 0.000 6.630
Rb Ac Pm O
2 1 1 4
direct
0.000 0.000 0.000 Rb
0.500 0.500 0.000 Rb
0.000 0.500 0.500 Ac
0.500 0.000 0.500 Pm
0.241 0.000 0.683 O
0.283 0.500 0.319 O
0.717 0.500 0.681 O
0.759 0.000 0.317 O
```

Computed properties:
As for the calculated density: 6.195 g/cm3. As for the total energy: -6.3736 eV per atom. As for the spin magnetization: 0.00 μB per formula unit. The calculation puts the uncorrected formation energy at -2.545 eV/atom. Its space group is P2/m.

***

Material: CaAsIr
Method: DFT, PBE
State: relaxed

Structure (POSCAR):
```
CaAsIr
1.0
-1.694 1.694 5.240
1.694 -1.694 5.240
1.694 1.694 -5.240
Ca As Ir
1 1 1
direct
0.000 0.000 0.000 Ca
0.707 0.707 0.000 As
0.296 0.296 0.000 Ir
```

Computed properties:
The calculation puts the energy of formation from the pure elements at -1.23 eV per formula unit. As for the calculated density: 8.483 g/cm3. As for the total energy: -5.5820 eV per atom. As for the spin magnetization: 0.00 μB per formula unit. Its space group is I4mm.

***

Material: Tm3MgTl4Te8
Method: DFT, PBE
State: relaxed

Structure (POSCAR):
```
Tm3MgTl4Te8
1.0
4.398 2.539 8.015
-4.398 2.539 8.015
0.000 -5.079 8.015
Tm Mg Tl Te
3 1 4 8
direct
0.000 0.500 0.500 Tm
0.500 0.000 0.500 Tm
0.500 0.500 0.000 Tm
0.000 0.000 0.000 Mg
0.000 0.000 0.500 Tl
0.000 0.500 0.000 Tl
0.500 0.000 0.000 Tl
0.500 0.500 0.500 Tl
0.234 0.234 0.740 Te
0.234 0.740 0.234 Te
0.260 0.766 0.766 Te
0.262 0.262 0.262 Te
0.738 0.738 0.738 Te
0.740 0.234 0.234 Te
0.766 0.260 0.766 Te
0.766 0.766 0.260 Te
```

Computed properties:
As for the calculated density: 7.325 g/cm3. As for the total energy: -3.9867 eV per atom. As for the spin magnetization: 0.00 μB per formula unit. The calculation puts the uncorrected formation energy at -0.886 eV/atom. Its space group is R-3m.

***

Material: YMn2Hg
Method: DFT, PBE
State: relaxed

Structure (POSCAR):
```
YMn2Hg
1.0
-2.178 2.178 4.121
2.178 -2.178 4.121
2.178 2.178 -4.121
Y Mn Hg
1 2 1
direct
0.000 0.000 0.000 Y
0.250 0.750 0.500 Mn
0.750 0.250 0.500 Mn
0.500 0.500 0.000 Hg
```

Computed properties:
The calculation puts the energy of formation from the pure elements at 0.96 eV per formula unit. As for the calculated density: 8.479 g/cm3. As for the total energy: -6.0374 eV per atom. As for the spin magnetization: 6.71 μB per formula unit. Its space group is I4/mmm.

***

Material: LiLa4Pm3S8
Method: DFT, PBE
State: relaxed

Structure (POSCAR):
```
LiLa4Pm3S8
1.0
4.085 2.359 6.642
-4.085 2.359 6.642
0.000 -4.717 6.642
Li La Pm S
1 4 3 8
direct
0.000 0.000 0.000 Li
0.000 0.000 0.500 La
0.000 0.500 0.000 La
0.500 0.000 0.000 La
0.500 0.500 0.500 La
0.000 0.500 0.500 Pm
0.500 0.000 0.500 Pm
0.500 0.500 0.000 Pm
0.242 0.242 0.752 S
0.242 0.752 0.242 S
0.248 0.758 0.758 S
0.253 0.253 0.253 S
0.747 0.747 0.747 S
0.752 0.242 0.242 S
0.758 0.248 0.758 S
0.758 0.758 0.248 S
```

Computed properties:
As for the calculated density: 5.424 g/cm3. As for the total energy: -6.3387 eV per atom. As for the spin magnetization: 0.00 μB per formula unit. The calculation puts the uncorrected formation energy at -2.033 eV/atom. Its space group is R-3m.

***

> spin magnetization of number 1 (Mn3Fe12Tc5)?

3.01 μB per formula unit